--- i ---
{"formula": "Sr2Rh2O", "functional": "PBE-GGA", "state": "optimized geometry", "spacegroup": "I4/mmm", "lattice_angstrom": [[-0.9509, 1.1102, -5.6765], [-5.7828, -0.0608, 0.9568], [-3.2974, 3.7918, -1.7325]], "species": ["Sr", "Sr", "O", "Rh", "Rh"], "frac_coords": [[0.2500, 0.7500, 0.5000], [0.7500, 0.2500, 0.5000], [0.0000, 0.0000, 0.0000], [0.3090, 0.3090, 0.3820], [0.6910, 0.6910, 0.6180]]}



--- ii ---
{"formula": "Sr2Rh2O", "functional": "PBE-GGA", "state": "optimized geometry", "spacegroup": "I4/mmm", "lattice_angstrom": [[3.5422, 0.0000, 0.0000], [0.0000, 3.5422, 0.0000], [1.7711, 1.7711, 8.2669]], "species": ["O", "Rh", "Rh", "Sr", "Sr"], "frac_coords": [[0.0000, 0.0000, 0.0000], [0.2500, 0.7500, 0.5000], [0.7500, 0.2500, 0.5000], [0.4078, 0.4078, 0.1845], [0.5922, 0.5922, 0.8155]]}



Best to worst by energy: ii, i.



--- i ---
{"formula": "Sr2RhO4", "functional": "PBE-GGA", "state": "optimized geometry", "spacegroup": "P2_1/m", "lattice_angstrom": [[-1.0854, -2.7504, -5.5102], [-2.3705, -4.5588, 2.7424], [-5.4791, 3.8622, 1.6841]], "species": ["O", "O", "O", "O", "O", "O", "O", "O", "Sr", "Sr", "Sr", "Sr", "Rh", "Rh"], "frac_coords": [[0.0318, 0.7500, 0.9288], [0.0213, 0.7500, 0.3477], [0.9787, 0.2500, 0.6523], [0.4815, 0.9727, 0.2550], [0.5185, 0.0273, 0.7450], [0.4815, 0.5273, 0.2550], [0.5185, 0.4727, 0.7450], [0.9682, 0.2500, 0.0712], [0.6874, 0.7500, 0.0373], [0.7701, 0.7500, 0.5634], [0.2299, 0.2500, 0.4366], [0.3126, 0.2500, 0.9627], [0.2348, 0.7500, 0.2008], [0.7652, 0.2500, 0.7992]]}



--- ii ---
{"formula": "Sr2RhO4", "functional": "PBE-GGA", "state": "optimized geometry", "spacegroup": "I4_1/acd", "lattice_angstrom": [[-11.8560, 6.8360, -0.0361], [-11.1424, 3.6791, 7.0433], [13.3391, -2.0600, -2.2631]], "species": ["O", "O", "O", "O", "O", "O", "O", "O", "O", "O", "O", "O", "O", "O", "O", "O", "Sr", "Sr", "Sr", "Sr", "Sr", "Sr", "Sr", "Sr", "Rh", "Rh", "Rh", "Rh"], "frac_coords": [[0.5800, 0.5800, 0.0000], [0.1930, 0.3070, 0.5000], [0.0570, 0.0570, 0.6139], [0.8070, 0.6930, 0.5000], [0.9430, 0.5570, 0.0000], [0.8300, 0.3300, 0.5000], [0.6700, 0.1700, 0.5000], [0.5570, 0.9430, 0.0000], [0.9200, 0.9200, 0.0000], [0.6930, 0.1930, 0.8861], [0.3070, 0.8070, 0.1139], [0.4200, 0.4200, 0.0000], [0.4430, 0.4430, 0.3861], [0.1700, 0.6700, 0.5000], [0.0800, 0.0800, 0.0000], [0.3300, 0.8300, 0.5000], [0.6753, 0.6753, 0.0000], [0.9253, 0.4253, 0.5000], [0.8247, 0.8247, 0.0000], [0.1753, 0.1753, 0.0000], [0.3247, 0.3247, 0.0000], [0.5747, 0.0747, 0.5000], [0.0747, 0.5747, 0.5000], [0.4253, 0.9253, 0.5000], [0.5000, 0.5000, 0.0000], [0.0000, 0.0000, 0.0000], [0.7500, 0.2500, 0.5000], [0.2500, 0.7500, 0.5000]]}



--- iii ---
{"formula": "Sr2RhO4", "functional": "PBE-GGA", "state": "optimized geometry", "spacegroup": "I4/mmm", "lattice_angstrom": [[3.9514, 0.0000, 0.0000], [0.0000, 3.9514, 0.0000], [1.9757, 1.9757, 6.3648]], "species": ["Sr", "Sr", "O", "O", "O", "O", "Rh"], "frac_coords": [[0.3547, 0.3547, 0.2906], [0.6453, 0.6453, 0.7094], [0.1630, 0.1630, 0.6741], [0.0000, 0.5000, 0.0000], [0.8370, 0.8370, 0.3259], [0.5000, 0.0000, 0.0000], [0.0000, 0.0000, 0.0000]]}



Best to worst by energy: ii, iii, i.



--- i ---
{"formula": "Sr3Rh2O7", "functional": "PBE-GGA", "state": "optimized geometry", "spacegroup": "Cmmm", "lattice_angstrom": [[3.8948, 0.0000, 0.0000], [0.0000, 4.0314, 0.0000], [0.0000, -2.0157, 10.6462]], "species": ["Rh", "Rh", "O", "O", "O", "O", "O", "O", "O", "Sr", "Sr", "Sr"], "frac_coords": [[0.0000, 0.9028, 0.8055], [0.0000, 0.0972, 0.1945], [0.0000, 0.1921, 0.3842], [0.0000, 0.4073, 0.8147], [0.0000, 0.8079, 0.6158], [0.0000, 0.5927, 0.1853], [0.0000, 0.0000, 0.0000], [0.5000, 0.0989, 0.1978], [0.5000, 0.9011, 0.8022], [0.5000, 0.6770, 0.3540], [0.5000, 0.5000, 0.0000], [0.5000, 0.3230, 0.6460]]}



--- ii ---
{"formula": "Sr3Rh2O7", "functional": "PBE-GGA", "state": "optimized geometry", "spacegroup": "I4/mmm", "lattice_angstrom": [[3.9230, 0.0000, -0.7373], [-0.1386, 3.9206, -0.7373], [-0.0251, -0.0260, 10.6725]], "species": ["Sr", "Sr", "Sr", "Rh", "Rh", "O", "O", "O", "O", "O", "O", "O"], "frac_coords": [[0.5000, 0.5000, 0.0000], [0.3164, 0.3164, 0.6328], [0.6836, 0.6836, 0.3672], [0.9007, 0.9007, 0.8015], [0.0993, 0.0993, 0.1985], [0.4027, 0.9027, 0.8055], [0.0973, 0.5973, 0.1945], [0.9027, 0.4027, 0.8055], [0.0000, 0.0000, 0.0000], [0.5973, 0.0973, 0.1945], [0.1974, 0.1974, 0.3948], [0.8026, 0.8026, 0.6052]]}



--- iii ---
{"formula": "Sr3Rh2O7", "functional": "PBE-GGA", "state": "optimized geometry", "spacegroup": "Ccce", "lattice_angstrom": [[-10.7184, 0.1682, -2.3396], [10.2530, -3.1587, -2.2990], [-0.7327, -4.5816, 3.0272]], "species": ["O", "O", "O", "O", "O", "O", "O", "O", "O", "O", "O", "O", "O", "O", "Rh", "Rh", "Rh", "Rh", "Sr", "Sr", "Sr", "Sr", "Sr", "Sr"], "frac_coords": [[0.7119, 0.9054, 0.6916], [0.9054, 0.7119, 0.3084], [0.0000, 0.0000, 0.0000], [0.2881, 0.0946, 0.6916], [0.0946, 0.2881, 0.3084], [0.2119, 0.4054, 0.8084], [0.5946, 0.7881, 0.1916], [0.3055, 0.6945, 0.5000], [0.8055, 0.1945, 0.0000], [0.1945, 0.8055, 0.0000], [0.6945, 0.3055, 0.5000], [0.7881, 0.5946, 0.8084], [0.5000, 0.5000, 0.5000], [0.4054, 0.2119, 0.1916], [0.9024, 0.0976, 0.0000], [0.4024, 0.5976, 0.5000], [0.0976, 0.9024, 0.0000], [0.5976, 0.4024, 0.5000], [0.3128, 0.6872, 0.0000], [0.8128, 0.1872, 0.5000], [0.6872, 0.3128, 0.0000], [0.5000, 0.5000, 0.0000], [0.0000, 0.0000, 0.5000], [0.1872, 0.8128, 0.5000]]}



Best to worst by energy: iii, ii, i.



--- i ---
{"formula": "TaRhO2", "functional": "PBE-GGA", "state": "optimized geometry", "spacegroup": "Fm-3m", "lattice_angstrom": [[0.0992, -3.7909, -1.0691], [-2.4661, -1.3310, -2.7696], [1.3829, -1.0107, -3.5482]], "species": ["O", "O", "Rh", "Ta"], "frac_coords": [[0.7500, 0.7500, 0.7500], [0.2500, 0.2500, 0.2500], [0.0000, 0.0000, 0.0000], [0.5000, 0.5000, 0.5000]]}



--- ii ---
{"formula": "TaRhO2", "functional": "PBE-GGA", "state": "optimized geometry", "spacegroup": "I-42d", "lattice_angstrom": [[-0.3304, -2.2550, 3.2437], [3.9396, 0.0536, 0.4386], [1.3353, 4.1153, 5.4196]], "species": ["Ta", "Ta", "Rh", "Rh", "O", "O", "O", "O"], "frac_coords": [[0.0000, 0.0000, 0.0000], [0.7500, 0.2500, 0.5000], [0.2500, 0.7500, 0.5000], [0.5000, 0.5000, 0.0000], [0.0788, 0.6250, 0.2500], [0.6712, 0.1250, 0.2500], [0.8750, 0.9212, 0.7500], [0.3750, 0.3288, 0.7500]]}



Best to worst by energy: ii, i.